No. 1
A plane-wave DFT calculation with GGA-PBE was carried out for a relaxed structure of GePtN3.

a b c (Å): 3.9468 3.9468 3.9468
angles (deg): 90.00 90.00 90.00
Space group Pm-3m (No. 221)
Symmetry-distinct sites (fractional):
Ge 0.0000 0.0000 0.0000 [1 per cell]
Pt 0.5000 0.5000 0.5000 [1 per cell]
N 0.0000 0.5000 0.5000 [3 per cell]

volume: 61.5 Å³/cell
total moment: 2.07 μB per formula unit
raw formation energy: 1.79 eV/atom
total DFT energy (no corrections): -5.337 eV per atom

***

No. 2
A plane-wave DFT calculation with GGA-PBE was carried out for a relaxed structure of Ba2SrBiPd.

a b c (Å): 6.0354 6.0354 5.8671
angles (deg): 90.00 90.00 90.00
Space group P4/mmm (No. 123)
Symmetry-distinct sites (fractional):
Ba 0.0000 0.5000 0.0000 [2 per cell]
Sr 0.0000 0.0000 0.5000 [1 per cell]
Bi 0.5000 0.5000 0.5000 [1 per cell]
Pd 0.0000 0.0000 0.0000 [1 per cell]

volume: 213.7 Å³/cell
total moment: 0.00 μB per formula unit
ΔH_f (0 K): -532 meV per atom
total DFT energy (no corrections): -3.452 eV per atom

***

No. 3
A plane-wave DFT calculation with GGA-PBE was carried out for a relaxed structure of Lu2GaCo.

a b c (Å): 3.5554 3.5554 23.4853
angles (deg): 90.00 90.00 120.00
Space group R-3m (No. 166, hexagonal axes)
Symmetry-distinct sites (fractional):
Lu 0.0000 0.0000 0.2372 [6 per cell]
Ga 0.0000 0.0000 0.0000 [3 per cell]
Co 0.0000 0.0000 0.5000 [3 per cell]

volume: 257.1 Å³/cell
total moment: 0.00 μB per formula unit
energy relative to the lowest polymorph listed for this composition: 246 meV/atom
ΔH_f (0 K): -197 meV per atom
total DFT energy (no corrections): -4.991 eV per atom